VASP calculation (PBE-GGA) on a relaxed structure of RbTlS2.

The value obtained for the formation energy without anion corrections is -0.5806 eV/atom. As for the density of states at the Fermi level: 0.0 states/eV/cell. Its energy is -27.823 eV per cell. Its energy above the most stable polymorph in this dataset is 0.223 eV per formula unit.

Unit cell a=4.2949 b=7.9306 c=8.7906 alpha=111.37 beta=90.13 gamma=105.56
Fractional positions:
Rb 0.0000 0.0000 0.0000
Rb 0.0435 0.0939 0.4710
Tl 0.2995 0.6005 0.4744
Tl 0.7528 0.5103 0.0896
S 0.3668 0.7395 0.1827
S 0.5151 0.0337 0.7287
S 0.6578 0.3232 0.7763
S 0.6626 0.3265 0.2780